## Ac2UBi2N2 (GGA-PBE)

Data for crystalline Ac2UBi2N2 at its relaxed geometry.

Cell and atoms, written as POSCAR:
```
Ac2UBi2N2
1.0
4.459 0.000 0.000
2.230 6.309 -0.081
2.230 2.296 6.686
Ac U Bi N
2 1 2 2
Direct
0.199 0.354 0.248 Ac
0.801 0.646 0.752 Ac
0.000 0.000 0.000 U
0.554 0.217 0.676 Bi
0.446 0.783 0.324 Bi
0.173 0.725 0.928 N
0.827 0.275 0.072 N
```

Output
**Formation energy from raw total energies**: -1141 meV per atom
**VASP energy**: -7.414 eV/atom
**Total magnetic moment**: 0.084 μB/f.u.
**Fermi-level density of states**: 1.14 states/eV/f.u.



## Ac2ZrBi2N2 (GGA-PBE)

Data for crystalline Ac2ZrBi2N2 at its relaxed geometry.

Cell and atoms, written as POSCAR:
```
Ac2ZrBi2N2
1.0
4.438 0.000 0.000
0.000 4.438 0.000
-2.219 -2.219 8.763
Ac Zr Bi N
2 1 2 2
Direct
0.401 0.401 0.801 Ac
0.599 0.599 0.199 Ac
0.000 0.000 0.000 Zr
0.192 0.192 0.384 Bi
0.808 0.808 0.616 Bi
0.000 0.500 0.000 N
0.500 0.000 0.000 N
```

Output
**Formation energy from raw total energies**: -985 meV per atom
**VASP energy**: -6.867 eV/atom
**Total magnetic moment**: 0.000 μB/f.u.
**Fermi-level density of states**: 4.42 states/eV/f.u.